Record 1
DFT (PBE) results for LiY2PaO6 after structural relaxation.

Cell: 5.8101 5.8101 15.3070 Å, 90.00 90.00 120.00°
With the nearest neighbours (Å) after each atom.
Space group R3 (No. 146, hexagonal axes)
One atom of each set of equivalent atoms:
Li  0.0000  0.0000  0.0000 (multiplicity 3)  3 O 2.23
Y  0.0000  0.0000  0.2629 (multiplicity 3)  6 O 2.25-2.40
Y  0.0000  0.0000  0.7684 (multiplicity 3)  6 O 2.26-2.35
Pa  0.0000  0.0000  0.4737 (multiplicity 3)  6 O 2.18-2.21
O  0.0063  0.7204  0.3768 (multiplicity 9)  1 Pa 2.21, 1 Li 2.23, 2 Y 2.26-2.40
O  0.0254  0.3521  0.5331 (multiplicity 9)  1 Pa 2.18, 2 Y 2.25-2.35



Record 2
DFT (PBE) results for LiPaZn2O6 after structural relaxation.

Cell: 10.2386 9.5354 5.4905 Å, 90.00 101.10 90.00°
With the nearest neighbours (Å) after each atom.
Space group C2/c (No. 15)
One atom of each set of equivalent atoms:
Li  0.0000  0.0838  0.2500 (multiplicity 4)  6 O 2.15-2.23
Pa  0.0000  0.2620  0.7500 (multiplicity 4)  6 O 2.08-2.20
Zn  0.1965  0.4091  0.3158 (multiplicity 8)  4 O 1.93-1.98
O  0.1115  0.0950  0.6246 (multiplicity 8)  1 Zn 1.93, 1 Pa 2.15, 1 Li 2.15
O  0.1108  0.2548  0.1101 (multiplicity 8)  1 Zn 1.96, 1 Pa 2.08
O  0.1329  0.4185  0.6306 (multiplicity 8)  2 Zn 1.96-1.98



Record 3
DFT (PBE) results for LiZrPaO6 after structural relaxation.

Cell: 5.3257 5.3257 4.9197 Å, 90.00 90.00 120.00°
With the nearest neighbours (Å) after each atom.
Space group P312 (No. 149)
One atom of each set of equivalent atoms:
Li  0.0000  0.0000  0.0000 (multiplicity 1)  6 O 2.17
Zr  0.6667  0.3333  0.0000 (multiplicity 1)  6 O 2.11
Pa  0.3333  0.6667  0.5000 (multiplicity 1)  6 O 2.17
O  0.0008  0.3431  0.2389 (multiplicity 6)  1 Zr 2.11, 1 Pa 2.17, 1 Li 2.17



Record 4
DFT (PBE) results for LiPb3O after structural relaxation.

Output
Its energy above the most stable polymorph in this dataset is 0 meV per atom.

Cell: 5.0475 5.0475 5.0475 Å, 90.00 90.00 90.00°
With the nearest neighbours (Å) after each atom.
Space group Pm-3m (No. 221)
One atom of each set of equivalent atoms:
Li  0.0000  0.0000  0.0000 (multiplicity 1)  12 Pb 3.57
Pb  0.0000  0.5000  0.5000 (multiplicity 3)  2 O 2.52
O  0.5000  0.5000  0.5000 (multiplicity 1)  6 Pb 2.52



Calculated values (meV per atom) of energy relative to the elements, uncorrected for the records, taken in order: -3267; -1917; -2567; -308.
Calculated values (eV/cell) of E_tot for the records, taken in order: -260.27; -251.52; -72.81; -19.54.